Here is CaUV2O8 after structural relaxation from the Alexandria database. Energies are from GGA+U.

```
CaUV2O8
1.0
-2.494 -4.368 0.891
4.417 -2.283 1.171
-1.635 4.823 4.429
O Ca V U
8 1 2 1
direct
0.393 0.298 0.141
0.578 0.678 0.667
0.747 0.843 0.141
0.322 0.911 0.333
0.157 0.607 0.859
0.012 0.422 0.333
0.702 0.253 0.859
0.089 0.988 0.667
0.750 0.250 0.500
0.250 0.750 0.500
0.500 0.500 0.000
0.000 0.000 0.000
```

Values from the calculation:
Magnetization ... 2.00 μB/cell
V ... 12.395 Å³ per atom
DOS at the Fermi energy ... 3.82 states/eV/cell
Uncorrected energy ... -8.1579 eV per atom